Compound: TiIN2
Source: Alexandria
Functional: PBE
Structure: relaxed

CIF file:
```
data_TiIN2
_chemical_formula_sum 'Ti3 I3 N6'
_cell_length_a 3.2068
_cell_length_b 3.2068
_cell_length_c 19.3334
_cell_angle_alpha 90.00
_cell_angle_beta 90.00
_cell_angle_gamma 120.00
_symmetry_space_group_name_H-M 'R -3 m'
_symmetry_Int_Tables_number 166
_symmetry_space_group_name_Hall '-R 3 2"'
loop_
_atom_site_label
_atom_site_fract_x
_atom_site_fract_y
_atom_site_fract_z
Ti1 0.0000 0.0000 0.0000
I1 0.0000 0.0000 0.5000
N1 0.0000 0.0000 0.3864
```

Total energy: -79.23 eV for the cell shown

Compound: TiIN2
Source: Alexandria
Functional: PBE
Structure: relaxed

CIF file:
```
data_TiIN2
_chemical_formula_sum 'Ti3 I3 N6'
_cell_length_a 3.5213
_cell_length_b 3.5213
_cell_length_c 18.3815
_cell_angle_alpha 90.00
_cell_angle_beta 90.00
_cell_angle_gamma 120.00
_symmetry_space_group_name_H-M 'R -3 m'
_symmetry_Int_Tables_number 166
_symmetry_space_group_name_Hall '-R 3 2"'
loop_
_atom_site_label
_atom_site_fract_x
_atom_site_fract_y
_atom_site_fract_z
Ti1 0.0000 0.0000 0.0000
I1 0.0000 0.0000 0.5000
N1 0.0000 0.0000 0.1076
```

Total energy: -63.05 eV for the cell shown

Compound: TiI2N2
Source: Alexandria
Functional: PBE
Structure: relaxed

CIF file:
```
data_TiI2N2
_chemical_formula_sum 'Ti1 I2 N2'
_cell_length_a 4.124
_cell_length_b 4.124
_cell_length_c 6.304
_cell_angle_alpha 90.00
_cell_angle_beta 90.00
_cell_angle_gamma 90.00
_symmetry_space_group_name_H-M 'P 4/m m m'
_symmetry_Int_Tables_number 123
_symmetry_space_group_name_Hall '-P 4 2'
loop_
_atom_site_label
_atom_site_fract_x
_atom_site_fract_y
_atom_site_fract_z
Ti1 0.000 0.000 0.000
I1 0.000 0.000 0.500
I2 0.500 0.500 0.500
N1 0.000 0.500 0.000
```

Total energy: -24.00 eV for the cell shown

Compound: TiI2N
Source: Alexandria
Functional: PBE
Structure: relaxed

CIF file:
```
data_TiI2N
_chemical_formula_sum 'Ti4 I8 N4'
_cell_length_a 7.245
_cell_length_b 7.245
_cell_length_c 11.760
_cell_angle_alpha 90.00
_cell_angle_beta 90.00
_cell_angle_gamma 90.00
_symmetry_space_group_name_H-M 'I -4 2 d'
_symmetry_Int_Tables_number 122
_symmetry_space_group_name_Hall 'I -4 2bw'
loop_
_atom_site_label
_atom_site_fract_x
_atom_site_fract_y
_atom_site_fract_z
Ti1 0.000 0.000 0.000
I1 0.197 0.250 0.125
N1 0.000 0.000 0.500
```

Total energy: -62.39 eV for the cell shown

Compound: TiIN2
Source: Alexandria
Functional: PBE
Structure: relaxed

CIF file:
```
data_TiIN2
_chemical_formula_sum 'Ti4 I4 N8'
_cell_length_a 5.451
_cell_length_b 5.451
_cell_length_c 9.224
_cell_angle_alpha 90.00
_cell_angle_beta 90.00
_cell_angle_gamma 90.00
_symmetry_space_group_name_H-M 'I -4 2 d'
_symmetry_Int_Tables_number 122
_symmetry_space_group_name_Hall 'I -4 2bw'
loop_
_atom_site_label
_atom_site_fract_x
_atom_site_fract_y
_atom_site_fract_z
Ti1 0.000 0.000 0.000
I1 0.000 0.000 0.500
N1 0.133 0.250 0.125
```

Total energy: -100.15 eV for the cell shown

Compound: TiIN2
Source: Alexandria
Functional: PBE
Structure: relaxed

CIF file:
```
data_TiIN2
_chemical_formula_sum 'Ti4 I4 N8'
_cell_length_a 5.815
_cell_length_b 5.815
_cell_length_c 5.815
_cell_angle_alpha 90.00
_cell_angle_beta 90.00
_cell_angle_gamma 90.00
_symmetry_space_group_name_H-M 'F m -3 m'
_symmetry_Int_Tables_number 225
_symmetry_space_group_name_Hall '-F 4 2 3'
loop_
_atom_site_label
_atom_site_fract_x
_atom_site_fract_y
_atom_site_fract_z
Ti1 0.000 0.000 0.000
I1 0.000 0.000 0.500
N1 0.250 0.250 0.250
```

Total energy: -83.06 eV for the cell shown

Compound: TiI4N2
Source: Alexandria
Functional: PBE
Structure: relaxed

CIF file:
```
data_TiI4N2
_chemical_formula_sum 'Ti1 I4 N2'
_cell_length_a 5.087
_cell_length_b 6.258
_cell_length_c 7.262
_cell_angle_alpha 89.47
_cell_angle_beta 87.69
_cell_angle_gamma 87.58
_symmetry_space_group_name_H-M 'P -1'
_symmetry_Int_Tables_number 2
_symmetry_space_group_name_Hall '-P 1'
loop_
_atom_site_label
_atom_site_fract_x
_atom_site_fract_y
_atom_site_fract_z
Ti1 0.000 0.000 0.000
I1 0.010 0.707 0.712
I2 0.398 0.728 0.191
N1 0.277 0.138 0.884
```

Total energy: -29.03 eV for the cell shown

Compound: TiVI2N
Source: Alexandria
Functional: PBE
Structure: relaxed

CIF file:
```
data_TiVI2N
_chemical_formula_sum 'Ti1 V1 I2 N1'
_cell_length_a 5.549
_cell_length_b 5.549
_cell_length_c 3.652
_cell_angle_alpha 90.00
_cell_angle_beta 90.00
_cell_angle_gamma 90.00
_symmetry_space_group_name_H-M 'P 4/m m m'
_symmetry_Int_Tables_number 123
_symmetry_space_group_name_Hall '-P 4 2'
loop_
_atom_site_label
_atom_site_fract_x
_atom_site_fract_y
_atom_site_fract_z
Ti1 0.000 0.000 0.000
V1 0.500 0.500 0.500
I1 0.000 0.500 0.500
N1 0.500 0.500 0.000
```

Total energy: -26.85 eV for the cell shown

Compound: TiVI2N
Source: Alexandria
Functional: PBE
Structure: relaxed

CIF file:
```
data_TiVI2N
_chemical_formula_sum 'Ti1 V1 I2 N1'
_cell_length_a 5.664
_cell_length_b 5.664
_cell_length_c 3.749
_cell_angle_alpha 90.00
_cell_angle_beta 90.00
_cell_angle_gamma 90.00
_symmetry_space_group_name_H-M 'P 4/m m m'
_symmetry_Int_Tables_number 123
_symmetry_space_group_name_Hall '-P 4 2'
loop_
_atom_site_label
_atom_site_fract_x
_atom_site_fract_y
_atom_site_fract_z
Ti1 0.000 0.000 0.000
V1 0.500 0.500 0.500
I1 0.000 0.500 0.000
N1 0.000 0.000 0.500
```

Total energy: -27.28 eV for the cell shown

Compound: TiVIN2
Source: Alexandria
Functional: PBE
Structure: relaxed

CIF file:
```
data_TiVIN2
_chemical_formula_sum 'Ti1 V1 I1 N2'
_cell_length_a 3.861
_cell_length_b 3.861
_cell_length_c 5.329
_cell_angle_alpha 90.00
_cell_angle_beta 90.00
_cell_angle_gamma 90.00
_symmetry_space_group_name_H-M 'P 4/m m m'
_symmetry_Int_Tables_number 123
_symmetry_space_group_name_Hall '-P 4 2'
loop_
_atom_site_label
_atom_site_fract_x
_atom_site_fract_y
_atom_site_fract_z
Ti1 0.000 0.000 0.000
V1 0.500 0.500 0.500
I1 0.500 0.500 0.000
N1 0.000 0.500 0.500
```

Total energy: -32.20 eV for the cell shown

Compound: TiVIN2
Source: Alexandria
Functional: PBE
Structure: relaxed

CIF file:
```
data_TiVIN2
_chemical_formula_sum 'Ti1 V1 I1 N2'
_cell_length_a 3.941
_cell_length_b 3.941
_cell_length_c 5.557
_cell_angle_alpha 90.00
_cell_angle_beta 90.00
_cell_angle_gamma 90.00
_symmetry_space_group_name_H-M 'P 4/m m m'
_symmetry_Int_Tables_number 123
_symmetry_space_group_name_Hall '-P 4 2'
loop_
_atom_site_label
_atom_site_fract_x
_atom_site_fract_y
_atom_site_fract_z
Ti1 0.000 0.000 0.000
V1 0.500 0.500 0.500
I1 0.000 0.000 0.500
N1 0.000 0.500 0.000
```

Total energy: -31.31 eV for the cell shown

Compound: TiWI2N
Source: Alexandria
Functional: PBE
Structure: relaxed

CIF file:
```
data_TiWI2N
_chemical_formula_sum 'Ti1 W1 I2 N1'
_cell_length_a 5.630
_cell_length_b 5.630
_cell_length_c 3.694
_cell_angle_alpha 90.00
_cell_angle_beta 90.00
_cell_angle_gamma 90.00
_symmetry_space_group_name_H-M 'P 4/m m m'
_symmetry_Int_Tables_number 123
_symmetry_space_group_name_Hall '-P 4 2'
loop_
_atom_site_label
_atom_site_fract_x
_atom_site_fract_y
_atom_site_fract_z
Ti1 0.000 0.000 0.000
W1 0.500 0.500 0.500
I1 0.000 0.500 0.000
N1 0.000 0.000 0.500
```

Total energy: -27.60 eV for the cell shown